one | First-principles (GGA-PBE) data for crystalline NdSm7Ho12 at its relaxed geometry, as listed in the Alexandria database.

a b c (Å): 8.7151 8.7151 8.7151
angles (deg): 95.11 95.11 95.11
Last column: nearest neighbours and their distance in Å.
Fractional positions:
Sm1 0.9812 0.9152 0.6450  1 Sm 3.07, 2 Ho 3.07-3.40, 1 Nd 3.10
Sm2 0.0848 0.3550 0.0188  1 Sm 3.07, 2 Ho 3.07-3.40, 1 Nd 3.10
Sm3 0.9152 0.6450 0.9812  1 Sm 3.07, 2 Ho 3.07-3.40, 1 Nd 3.10
Sm4 0.5000 0.5000 0.5000  6 Ho 3.08
Sm5 0.6450 0.9812 0.9152  1 Sm 3.07, 2 Ho 3.07-3.40, 1 Nd 3.10
Sm6 0.0188 0.0848 0.3550  1 Sm 3.07, 2 Ho 3.07-3.40, 1 Nd 3.10
Sm7 0.3550 0.0188 0.0848  1 Sm 3.07, 2 Ho 3.07-3.40, 1 Nd 3.10
Ho1 0.4810 0.1471 0.4159  2 Sm 3.07-3.08, 2 Ho 3.09-3.34
Ho2 0.7484 0.3184 0.1872  3 Ho 3.34-3.54, 3 Sm 3.40-3.60
Ho3 0.5190 0.8529 0.5841  2 Sm 3.07-3.08, 2 Ho 3.09-3.34
Ho4 0.8128 0.2516 0.6816  3 Ho 3.34-3.54, 3 Sm 3.40-3.60
Ho5 0.8529 0.5841 0.5190  2 Sm 3.07-3.08, 2 Ho 3.09-3.34
Ho6 0.1872 0.7484 0.3184  3 Ho 3.34-3.54, 3 Sm 3.40-3.60
Ho7 0.4159 0.4810 0.1471  2 Sm 3.07-3.08, 2 Ho 3.09-3.34
Ho8 0.6816 0.8128 0.2516  3 Ho 3.34-3.54, 3 Sm 3.40-3.60
Ho9 0.2516 0.6816 0.8128  3 Ho 3.34-3.54, 3 Sm 3.40-3.60
Ho10 0.1471 0.4159 0.4810  2 Sm 3.07-3.08, 2 Ho 3.09-3.34
Ho11 0.5841 0.5190 0.8529  2 Sm 3.07-3.08, 2 Ho 3.09-3.34
Ho12 0.3184 0.1872 0.7484  3 Ho 3.34-3.54, 3 Sm 3.40-3.60
Nd1 0.0000 0.0000 0.0000  6 Sm 3.10

total magnetic moment = 0.000 μB per atom


two | First-principles (GGA-PBE) data for crystalline NdSm7Ho12 at its relaxed geometry, as listed in the Alexandria database.

a b c (Å): 9.7540 9.7540 9.7540
angles (deg): 109.47 109.47 109.47
Last column: nearest neighbours and their distance in Å.
Fractional positions:
Ho1 0.5019 0.2510 0.2510  2 Sm 2.82
Ho2 0.2510 0.5019 0.2510  2 Sm 2.82
Ho3 0.2510 0.2510 0.5019  2 Sm 2.82
Ho4 0.0000 0.2510 0.7490  2 Sm 2.82
Ho5 0.4981 0.7490 0.7490  2 Sm 2.82
Ho6 0.0000 0.7490 0.2510  2 Sm 2.82
Ho7 0.7490 0.0000 0.2510  2 Sm 2.82
Ho8 0.7490 0.2510 0.0000  2 Sm 2.82
Ho9 0.7490 0.4981 0.7490  2 Sm 2.82
Ho10 0.2510 0.7490 0.0000  2 Sm 2.82
Ho11 0.7490 0.7490 0.4981  2 Sm 2.82
Ho12 0.2510 0.0000 0.7490  2 Sm 2.82
Nd1 0.0000 0.0000 0.0000  12 Ho 4.00
Sm1 0.0000 0.5000 0.5000  12 Ho 3.97-3.98
Sm2 0.5000 0.5000 0.5000  6 Ho 2.82
Sm3 0.0000 0.5000 0.0000  6 Ho 2.82
Sm4 0.0000 0.0000 0.5000  6 Ho 2.82
Sm5 0.5000 0.0000 0.5000  12 Ho 3.97-3.98
Sm6 0.5000 0.0000 0.0000  6 Ho 2.82
Sm7 0.5000 0.5000 0.0000  12 Ho 3.97-3.98

total magnetic moment = 0.000 μB per atom


Relative energy table, unit meV per atom: one 0; two 368


one | First-principles (GGA-PBE) data for crystalline Nd2Sm2Ho3 at its relaxed geometry, as listed in the Alexandria database.

a b c (Å): 9.5073 6.2324 12.9552
angles (deg): 76.06 90.02 139.71
Last column: nearest neighbours and their distance in Å.
Fractional positions:
Sm1 0.0011 0.5713 0.3557  5 Ho 3.58-3.62, 5 Nd 3.59-3.62, 2 Sm 3.61-3.63
Sm2 0.4977 0.5698 0.8591  2 Sm 3.55-3.61, 7 Ho 3.58-3.61, 3 Nd 3.60-3.61
Sm3 0.9989 0.4287 0.6443  5 Ho 3.58-3.62, 5 Nd 3.59-3.62, 2 Sm 3.61-3.63
Sm4 0.5023 0.4302 0.1409  2 Sm 3.55-3.61, 7 Ho 3.58-3.61, 3 Nd 3.60-3.61
Ho1 0.5023 0.8604 0.2837  3 Ho 3.57-3.62, 4 Sm 3.59-3.61, 5 Nd 3.59-3.62
Ho2 0.9995 0.2860 0.9291  3 Nd 3.57-3.60, 5 Ho 3.58-3.60, 4 Sm 3.58-3.60
Ho3 0.4977 0.1396 0.7163  3 Ho 3.57-3.62, 4 Sm 3.59-3.61, 5 Nd 3.59-3.62
Ho4 0.0000 0.0000 0.5000  4 Sm 3.59-3.62, 6 Nd 3.60-3.61, 2 Ho 3.62
Ho5 0.5000 0.0000 0.0000  6 Ho 3.57-3.60, 2 Nd 3.57, 4 Sm 3.58-3.60
Ho6 0.0005 0.7140 0.0709  3 Nd 3.57-3.60, 5 Ho 3.58-3.60, 4 Sm 3.58-3.60
Nd1 0.0033 0.1479 0.2123  7 Ho 3.57-3.61, 4 Sm 3.59-3.61, 1 Nd 3.62
Nd2 0.4990 0.7118 0.5720  3 Nd 3.59-3.62, 5 Ho 3.60-3.62, 4 Sm 3.61-3.62
Nd3 0.5010 0.2882 0.4280  3 Nd 3.59-3.62, 5 Ho 3.60-3.62, 4 Sm 3.61-3.62
Nd4 0.9967 0.8521 0.7877  7 Ho 3.57-3.61, 4 Sm 3.59-3.61, 1 Nd 3.62

total magnetic moment = 0.000 μB per atom


two | First-principles (GGA-PBE) data for crystalline Nd2Sm2Ho3 at its relaxed geometry, as listed in the Alexandria database.

a b c (Å): 3.5127 8.8031 8.6274
angles (deg): 115.86 101.75 90.00
Last column: nearest neighbours and their distance in Å.
Fractional positions:
Sm1 0.6389 0.9070 0.2778  4 Sm 3.51-3.79, 5 Ho 3.58-3.73, 4 Nd 3.64-3.80
Sm2 0.3611 0.0930 0.7222  4 Sm 3.51-3.79, 5 Ho 3.58-3.73, 4 Nd 3.64-3.80
Ho1 0.2205 0.6450 0.4410  5 Ho 3.36-3.59, 3 Nd 3.50-3.53, 3 Sm 3.58-3.62
Ho2 0.0000 0.5000 0.0000  4 Ho 3.36-3.51, 2 Nd 3.42, 4 Sm 3.73
Ho3 0.7795 0.3550 0.5590  5 Ho 3.36-3.59, 3 Nd 3.50-3.53, 3 Sm 3.58-3.62
Nd1 0.9203 0.7957 0.8407  3 Nd 3.40-3.51, 4 Ho 3.42-3.53, 4 Sm 3.64-3.80
Nd2 0.0797 0.2043 0.1593  3 Nd 3.40-3.51, 4 Ho 3.42-3.53, 4 Sm 3.64-3.80

total magnetic moment = 0.000 μB per atom


Relative energy table, unit meV per atom: one 0; two 114


one | First-principles (GGA-PBE) data for crystalline Nd3SmHo2 at its relaxed geometry, as listed in the Alexandria database.

a b c (Å): 7.2395 6.2688 12.0043
angles (deg): 110.35 90.00 125.27
Last column: nearest neighbours and their distance in Å.
Fractional positions:
Nd1 0.2917 0.3336 0.5836  5 Ho 3.61-3.63, 4 Nd 3.62, 3 Sm 3.62
Nd2 0.7083 0.6664 0.4164  5 Ho 3.61-3.63, 4 Nd 3.62, 3 Sm 3.62
Nd3 0.6254 0.0000 0.2500  6 Ho 3.61-3.62, 4 Nd 3.62, 2 Sm 3.62
Nd4 0.0419 0.3336 0.0836  5 Ho 3.61-3.63, 4 Nd 3.62, 3 Sm 3.62
Nd5 0.9581 0.6664 0.9164  5 Ho 3.61-3.63, 4 Nd 3.62, 3 Sm 3.62
Nd6 0.3746 0.0000 0.7500  6 Ho 3.61-3.62, 4 Nd 3.62, 2 Sm 3.62
Sm1 0.1254 0.0000 0.2500  8 Nd 3.62, 4 Ho 3.62-3.63
Sm2 0.8746 0.0000 0.7500  8 Nd 3.62, 4 Ho 3.62-3.63
Ho1 0.4585 0.6676 0.9175  2 Ho 3.61, 8 Nd 3.61-3.63, 2 Sm 3.62-3.63
Ho2 0.7909 0.3324 0.5825  2 Ho 3.61, 8 Nd 3.61-3.63, 2 Sm 3.62-3.63
Ho3 0.2091 0.6676 0.4175  2 Ho 3.61, 8 Nd 3.61-3.63, 2 Sm 3.62-3.63
Ho4 0.5415 0.3324 0.0825  2 Ho 3.61, 8 Nd 3.61-3.63, 2 Sm 3.62-3.63

total magnetic moment = 0.000 μB per atom


two | First-principles (GGA-PBE) data for crystalline Nd3SmHo2 at its relaxed geometry, as listed in the Alexandria database.

a b c (Å): 3.5116 5.9622 10.4389
angles (deg): 106.59 99.68 90.00
Last column: nearest neighbours and their distance in Å.
Fractional positions:
Nd1 0.1909 0.1909 0.3819  5 Ho 3.38-3.62, 2 Nd 3.51, 1 Sm 3.76
Nd2 0.0000 0.5000 0.0000  2 Sm 2.98, 4 Ho 3.22
Nd3 0.8091 0.8091 0.6181  5 Ho 3.38-3.62, 2 Nd 3.51, 1 Sm 3.76
Sm1 0.0000 0.0000 0.0000  2 Nd 2.98
Ho1 0.6373 0.6373 0.2745  3 Nd 3.22-3.38, 2 Ho 3.51
Ho2 0.3627 0.3627 0.7255  3 Nd 3.22-3.38, 2 Ho 3.51

total magnetic moment = 0.000 μB per atom


Relative energy table, unit meV per atom: one 0; two 316